Compound: Li4LaN2
Source: the Alexandria database
Functional: GGA-PBE
Structure: relaxed

Results
uncorrected formation energy: -382 meV/atom
size of the total moment: 0.59 μB/cell
E: -4.558 eV/atom

Geometry as POSCAR:
```
Li4LaN2
1.0
6.877 0.000 0.000
0.000 6.877 0.000
0.000 0.000 3.458
Li La N
8 2 4
direct
0.097 0.329 0.000
0.171 0.597 0.500
0.329 0.097 0.000
0.403 0.829 0.500
0.597 0.171 0.500
0.671 0.903 0.000
0.829 0.403 0.500
0.903 0.671 0.000
0.000 0.000 0.500
0.500 0.500 0.000
0.215 0.785 0.000
0.285 0.285 0.500
0.715 0.715 0.500
0.785 0.215 0.000
```